No. 1
9
Lattice="-3.625 -5.979 -0.571 1.172 -5.263 4.488 -4.825 -1.658 4.809" Properties=species:S:1:pos:R:3 comment="Sr2AlCd6, relaxed, DFT PBE-GGA" delta_e_f_kj_per_mol_atoms=-18.0 space_group="No. 166" vol_a3_per_atom=27.1 pbc="T T T"
Sr -1.816 -3.223 2.178
Sr -5.461 -9.676 6.548
Al -3.639 -6.450 4.363
Cd -4.299 -3.762 4.609
Cd -0.943 -5.783 4.433
Cd -6.334 -7.116 4.294
Cd -3.631 -6.185 1.598
Cd -3.647 -6.715 7.128
Cd -2.978 -9.137 4.117

=====

No. 2
5
Lattice="-2.494 -1.561 -3.558 4.072 -1.946 -2.001 -0.770 -3.946 2.270" Properties=species:S:1:pos:R:3 comment="Tc2AgOsRu, relaxed, DFT PBE-GGA" delta_e_f_kj_per_mol_atoms=197.7 space_group="No. 123" vol_a3_per_atom=21.0 pbc="T T T"
Ru 0.404 -3.726 -1.644
Os 0.000 0.000 0.000
Tc -0.385 -1.973 1.135
Tc -1.247 -0.780 -1.779
Ag 2.036 -0.973 -1.000

=====

No. 3
5
Lattice="-3.865 -2.637 -1.641 -0.680 -1.839 4.554 -3.031 3.775 1.072" Properties=species:S:1:pos:R:3 comment="Zn3PdI, relaxed, DFT PBE-GGA" polymorph_energy_mev_per_atom=0.0 space_group="No. 221" vol_a3_per_atom=24.4 pbc="T T T"
I -3.788 -0.350 1.992
Zn -0.340 -0.919 2.277
Zn -1.515 1.887 0.536
Zn -1.932 -1.319 -0.821
Pd 0.000 0.000 0.000

=====

No. 4
5
Lattice="4.531 0.000 0.000 0.000 4.531 0.000 0.000 0.000 4.531" Properties=species:S:1:pos:R:3 comment="LaFeRu3, relaxed, DFT PBE-GGA" delta_e_f_kj_per_mol_atoms=54.1 polymorph_energy_mev_per_atom=0.0 space_group="No. 221" vol_a3_per_atom=18.6 pbc="T T T"
Ru 0.000 2.265 0.000
Ru 0.000 0.000 2.265
Ru 2.265 0.000 0.000
Fe 0.000 0.000 0.000
La 2.265 2.265 2.265